Record 1
# Y4ErTl5

A relaxed Y4ErTl5 crystal (PBE, Alexandria via LeMat-Bulk).

Results
* V: 273.3 Å³ per cell
* VASP energy: -4.588 eV/atom
* magnetization: 0.0 μB/f.u.
* theoretical density: 9.39 g/cm³

CIF file:
```
data_Y4ErTl5
_space_group_name_H-M_alt 'P 4/m m m'
_space_group_IT_number 123
_space_group_name_Hall '-P 4 2'
_cell_length_a 3.7556
_cell_length_b 3.7556
_cell_length_c 19.3753
_cell_angle_alpha 90.00
_cell_angle_beta 90.00
_cell_angle_gamma 90.00
loop_
_atom_site_label
_atom_site_type_symbol
_atom_site_fract_x
_atom_site_fract_y
_atom_site_fract_z
Y1 Y 0.0000 0.0000 0.1007
Y2 Y 0.0000 0.0000 0.3016
Er1 Er 0.0000 0.0000 0.5000
Tl1 Tl 0.5000 0.5000 0.0000
Tl2 Tl 0.5000 0.5000 0.2014
Tl3 Tl 0.5000 0.5000 0.4023
```

Record 2
# TiAsS2

A relaxed TiAsS2 crystal (PBE, Alexandria via LeMat-Bulk).

Results
* V: 230.5 Å³ per cell
* formation energy from raw total energies: -761.4 meV/atom
* VASP energy: -5.961 eV/atom
* magnetization: 0.0 μB/f.u.
* theoretical density: 4.04 g/cm³

CIF file:
```
data_TiAsS2
_space_group_name_H-M_alt 'R -3 m'
_space_group_IT_number 166
_space_group_name_Hall '-R 3 2"'
_cell_length_a 3.3154
_cell_length_b 3.3154
_cell_length_c 24.2143
_cell_angle_alpha 90.00
_cell_angle_beta 90.00
_cell_angle_gamma 120.00
loop_
_atom_site_label
_atom_site_type_symbol
_atom_site_fract_x
_atom_site_fract_y
_atom_site_fract_z
Ti1 Ti 0.0000 0.0000 0.0000
As1 As 0.0000 0.0000 0.5000
S1 S 0.0000 0.0000 0.3946
```

Record 3
# ThHgPd

A relaxed ThHgPd crystal (PBE, Alexandria via LeMat-Bulk).

Results
* V: 140.2 Å³ per cell
* VASP energy: -4.755 eV/atom
* magnetization: 0.0 μB/f.u.
* theoretical density: 12.77 g/cm³

CIF file:
```
data_ThHgPd
_space_group_name_H-M_alt 'I 4 m m'
_space_group_IT_number 107
_space_group_name_Hall 'I 4 -2'
_cell_length_a 3.6541
_cell_length_b 3.6541
_cell_length_c 10.5015
_cell_angle_alpha 90.00
_cell_angle_beta 90.00
_cell_angle_gamma 90.00
loop_
_atom_site_label
_atom_site_type_symbol
_atom_site_fract_x
_atom_site_fract_y
_atom_site_fract_z
Th1 Th 0.0000 0.0000 0.0000
Hg1 Hg 0.0000 0.0000 0.6933
Pd1 Pd 0.0000 0.0000 0.3392
```

Record 4
# AcPu2ReO8

A relaxed AcPu2ReO8 crystal (PBE, Alexandria via LeMat-Bulk).

Results
* V: 184.0 Å³ per cell
* formation energy from raw total energies: -2595.7 meV/atom
* VASP energy: -9.670 eV/atom
* magnetization: 10.0 μB/f.u.
* theoretical density: 9.29 g/cm³

CIF file:
```
data_AcPu2ReO8
_space_group_name_H-M_alt 'P 1 2/m 1'
_space_group_IT_number 10
_space_group_name_Hall '-P 2y'
_cell_length_a 5.1123
_cell_length_b 7.0331
_cell_length_c 5.1171
_cell_angle_alpha 90.00
_cell_angle_beta 90.89
_cell_angle_gamma 90.00
loop_
_atom_site_label
_atom_site_type_symbol
_atom_site_fract_x
_atom_site_fract_y
_atom_site_fract_z
Ac1 Ac 0.0000 0.0000 0.0000
Pu1 Pu 0.5000 0.2603 0.5000
Re1 Re 0.0000 0.5000 0.0000
O1 O 0.1901 0.2984 0.1891
O2 O 0.2737 0.5000 0.7256
O3 O 0.3276 0.0000 0.6705
```